No. 1
Density functional theory data (GGA+U) for an optimized crystal structure of YCrIO2.

## Properties
Electronic total energy in eV per atom: -6.028
Energy above the lowest structure with this stoichiometry in eV per atom: 0.2965

Cell and atoms, written as CIF:
```
data_YCrIO2
_chemical_formula_sum 'Y1 Cr1 I1 O2'
_symmetry_space_group_name_H-M 'P 4/m m m'
_symmetry_Int_Tables_number 123
_symmetry_space_group_name_Hall '-P 4 2'
_cell_length_a 4.172
_cell_length_b 4.172
_cell_length_c 5.122
_cell_angle_alpha 90.00
_cell_angle_beta 90.00
_cell_angle_gamma 90.00
loop_
_atom_site_label
_atom_site_type_symbol
_atom_site_fract_x
_atom_site_fract_y
_atom_site_fract_z
Y1 Y 0.000 0.000 0.000
Cr1 Cr 0.500 0.500 0.500
I1 I 0.500 0.500 0.000
O1 O 0.000 0.500 0.500
```



No. 2
Density functional theory data (GGA+U) for an optimized crystal structure of YCrIO2.

## Properties
Electronic total energy in eV per atom: -6.325
Energy above the lowest structure with this stoichiometry in eV per atom: 0.0000

Cell and atoms, written as CIF:
```
data_YCrIO2
_chemical_formula_sum 'Y1 Cr1 I1 O2'
_symmetry_space_group_name_H-M 'P 4/m m m'
_symmetry_Int_Tables_number 123
_symmetry_space_group_name_Hall '-P 4 2'
_cell_length_a 4.336
_cell_length_b 4.336
_cell_length_c 6.499
_cell_angle_alpha 90.00
_cell_angle_beta 90.00
_cell_angle_gamma 90.00
loop_
_atom_site_label
_atom_site_type_symbol
_atom_site_fract_x
_atom_site_fract_y
_atom_site_fract_z
Y1 Y 0.000 0.000 0.000
Cr1 Cr 0.500 0.500 0.500
I1 I 0.000 0.000 0.500
O1 O 0.000 0.500 0.000
```